No. 1
## HgPtSe2 (GGA-PBE)

Data for a relaxed structure of HgPtSe2.

Cell lengths 2.985, 3.232, 9.627 Å; angles 90.00, 90.00, 90.00 degrees
Fractional positions:
Hg  0.000  0.000  0.000
Pt  0.000  0.000  0.500
Se  0.500  0.500  0.327
Se  0.500  0.500  0.673

VASP energy in eV per atom: -3.107
ΔE to the lowest computed polymorph in meV per atom: 514
Symmetry: Pmmm
N(E_F) in states/eV/f.u.: 3.17

***

No. 2
## Cs3NaTa (GGA-PBE)

Data for a relaxed structure of Cs3NaTa.

Cell lengths 6.938, 6.938, 6.938 Å; angles 90.00, 90.00, 90.00 degrees
Fractional positions:
Cs  0.000  0.000  0.500
Cs  0.000  0.500  0.000
Cs  0.500  0.000  0.000
Na  0.500  0.500  0.500
Ta  0.000  0.000  0.000

ΔE_f in eV/atom: 1.21
VASP energy in eV per atom: -1.941
ΔE to the lowest computed polymorph in meV per atom: 0
Symmetry: Pm-3m
N(E_F) in states/eV/f.u.: 1.70

***

No. 3
## NbSi2Ni (GGA-PBE)

Data for a relaxed structure of NbSi2Ni.

Cell lengths 6.534, 6.534, 5.532 Å; angles 90.00, 90.00, 90.00 degrees
Fractional positions:
Nb  0.000  0.000  0.000
Nb  0.000  0.500  0.250
Nb  0.500  0.000  0.750
Nb  0.500  0.500  0.500
Si  0.204  0.250  0.625
Si  0.250  0.704  0.875
Si  0.250  0.796  0.375
Si  0.296  0.250  0.125
Si  0.704  0.750  0.125
Si  0.750  0.204  0.375
Si  0.750  0.296  0.875
Si  0.796  0.750  0.625
Ni  0.000  0.000  0.500
Ni  0.000  0.500  0.750
Ni  0.500  0.000  0.250
Ni  0.500  0.500  0.000

VASP energy in eV per atom: -6.822
Symmetry: I-42d
N(E_F) in states/eV/f.u.: 2.50